(1)
SrInCl4 | meta-GGA SCAN | PBEsol geometry

Lattice parameters (Å, degrees): 5.980 5.980 5.980 60.00 60.00 60.00
Positions (direct):
In  0.750  0.750  0.750
Cl  0.375  0.375  0.876
Cl  0.375  0.375  0.375
Sr  0.000  0.000  0.000
Cl  0.375  0.876  0.375
Cl  0.876  0.375  0.375

Results
total energy	-92.6	eV/cell
formation energy from raw total energies	-5.0	eV/f.u.

---

(2)
ScPAu | meta-GGA SCAN | PBEsol geometry

Lattice parameters (Å, degrees): 3.962 3.962 8.372 90.00 90.00 120.00
Positions (direct):
P  0.000  0.000  0.028
Au  0.667  0.333  0.162
Sc  0.667  0.333  0.836
Sc  0.333  0.667  0.336
P  0.000  0.000  0.528
Au  0.333  0.667  0.662

Results
total energy	-192.2	eV/cell
DFT formation energy	-0.767	eV/atom

---

Question: Look up the total energy of the first one.
Answer: -92.6 eV/cell